Entry P
A plane-wave DFT calculation with PBE was carried out for a relaxed structure of Sn2Pd2Au3.

abc: 9.707 4.153 6.567
angles: 90.00 97.92 90.00
Sites, in units of the cell vectors:
Sn (0.202, 0.000, 0.175)
Sn (0.298, 0.500, 0.825)
Sn (0.702, 0.500, 0.175)
Sn (0.798, 0.000, 0.825)
Pd (0.096, 0.000, 0.748)
Pd (0.404, 0.500, 0.252)
Pd (0.596, 0.500, 0.748)
Pd (0.904, 0.000, 0.252)
Au (0.000, 0.500, 0.000)
Au (0.128, 0.500, 0.434)
Au (0.372, 0.000, 0.566)
Au (0.500, 0.000, 0.000)
Au (0.628, 0.000, 0.434)
Au (0.872, 0.500, 0.566)

Properties
D(E_F) (states/eV/atom): 0.365
M_tot (Bohr magnetons per cell): 0.00



Entry Q
A plane-wave DFT calculation with PBE was carried out for a relaxed structure of Sn2Pd2Au3.

abc: 9.379 3.556 7.896
angles: 90.00 92.40 90.00
Sites, in units of the cell vectors:
Sn (0.074, 0.000, 0.312)
Sn (0.426, 0.500, 0.688)
Sn (0.574, 0.500, 0.312)
Sn (0.926, 0.000, 0.688)
Pd (0.144, 0.500, 0.582)
Pd (0.356, 0.000, 0.418)
Pd (0.644, 0.000, 0.582)
Pd (0.856, 0.500, 0.418)
Au (0.000, 0.500, 0.000)
Au (0.211, 0.000, 0.860)
Au (0.289, 0.500, 0.140)
Au (0.500, 0.000, 0.000)
Au (0.711, 0.500, 0.860)
Au (0.789, 0.000, 0.140)

Properties
D(E_F) (states/eV/atom): 0.332
M_tot (Bohr magnetons per cell): 0.00



The structure with the most favorable energy is entry Q; the runner-up is 0.033 eV/atom above it.



Entry P
A plane-wave DFT calculation with PBE was carried out for a relaxed structure of SnPd2Au8.

abc: 7.287 7.287 4.775
angles: 100.64 100.64 63.46
Sites, in units of the cell vectors:
Sn (0.000, 0.000, 0.000)
Pd (0.116, 0.116, 0.541)
Pd (0.884, 0.884, 0.459)
Au (0.230, 0.230, 0.103)
Au (0.246, 0.616, 0.215)
Au (0.352, 0.352, 0.670)
Au (0.384, 0.754, 0.785)
Au (0.616, 0.246, 0.215)
Au (0.648, 0.648, 0.330)
Au (0.754, 0.384, 0.785)
Au (0.770, 0.770, 0.897)

Properties
D(E_F) (states/eV/atom): 0.308
M_tot (Bohr magnetons per cell): 0.00



Entry Q
A plane-wave DFT calculation with PBE was carried out for a relaxed structure of SnPd2Au8.

abc: 7.783 7.783 6.551
angles: 104.91 104.91 31.17
Sites, in units of the cell vectors:
Sn (0.000, 0.000, 0.000)
Pd (0.273, 0.273, 0.363)
Pd (0.727, 0.727, 0.637)
Au (0.096, 0.096, 0.457)
Au (0.184, 0.184, 0.911)
Au (0.359, 0.359, 0.807)
Au (0.451, 0.451, 0.277)
Au (0.549, 0.549, 0.723)
Au (0.641, 0.641, 0.193)
Au (0.816, 0.816, 0.089)
Au (0.904, 0.904, 0.543)

Properties
D(E_F) (states/eV/atom): 0.444
M_tot (Bohr magnetons per cell): 0.00



The structure with the most favorable energy is entry Q; the runner-up is 0.094 eV/atom above it.



Entry P
A plane-wave DFT calculation with PBE was carried out for a relaxed structure of Sn2Pd4Au.

abc: 6.960 5.622 7.012
angles: 90.00 111.29 90.00
Sites, in units of the cell vectors:
Sn (0.097, 0.250, 0.340)
Sn (0.370, 0.750, 0.074)
Sn (0.630, 0.250, 0.926)
Sn (0.903, 0.750, 0.660)
Pd (0.267, 0.505, 0.704)
Pd (0.267, 0.995, 0.704)
Pd (0.316, 0.250, 0.091)
Pd (0.483, 0.750, 0.485)
Pd (0.517, 0.250, 0.515)
Pd (0.684, 0.750, 0.909)
Pd (0.733, 0.005, 0.296)
Pd (0.733, 0.495, 0.296)
Au (0.063, 0.750, 0.243)
Au (0.937, 0.250, 0.757)

Properties
D(E_F) (states/eV/atom): 0.559
M_tot (Bohr magnetons per cell): 0.00



Entry Q
A plane-wave DFT calculation with PBE was carried out for a relaxed structure of Sn2Pd4Au.

abc: 3.906 3.906 18.918
angles: 90.00 90.00 90.00
Sites, in units of the cell vectors:
Sn (0.000, 0.000, 0.138)
Sn (0.000, 0.000, 0.862)
Sn (0.500, 0.500, 0.362)
Sn (0.500, 0.500, 0.638)
Pd (0.000, 0.000, 0.361)
Pd (0.000, 0.000, 0.639)
Pd (0.000, 0.500, 0.250)
Pd (0.000, 0.500, 0.750)
Pd (0.500, 0.000, 0.250)
Pd (0.500, 0.000, 0.750)
Pd (0.500, 0.500, 0.139)
Pd (0.500, 0.500, 0.861)
Au (0.000, 0.000, 0.500)
Au (0.500, 0.500, 0.000)

Properties
D(E_F) (states/eV/atom): 0.489
M_tot (Bohr magnetons per cell): 0.00



The structure with the most favorable energy is entry P; the runner-up is 0.151 eV/atom above it.



Entry P
A plane-wave DFT calculation with PBE was carried out for a relaxed structure of Sn4PdAu.

abc: 6.662 6.710 6.684
angles: 90.00 90.64 90.00
Sites, in units of the cell vectors:
Sn (0.116, 0.136, 0.366)
Sn (0.116, 0.364, 0.866)
Sn (0.362, 0.625, 0.376)
Sn (0.362, 0.875, 0.876)
Sn (0.638, 0.125, 0.124)
Sn (0.638, 0.375, 0.624)
Sn (0.884, 0.636, 0.134)
Sn (0.884, 0.864, 0.634)
Pd (0.000, 0.000, 0.000)
Pd (0.000, 0.500, 0.500)
Au (0.500, 0.000, 0.500)
Au (0.500, 0.500, 0.000)

Properties
D(E_F) (states/eV/atom): 0.411
M_tot (Bohr magnetons per cell): 0.00



Entry Q
A plane-wave DFT calculation with PBE was carried out for a relaxed structure of Sn4PdAu.

abc: 4.681 4.681 6.759
angles: 90.00 90.00 90.00
Sites, in units of the cell vectors:
Sn (0.000, 0.500, 0.241)
Sn (0.000, 0.500, 0.759)
Sn (0.500, 0.000, 0.241)
Sn (0.500, 0.000, 0.759)
Pd (0.000, 0.000, 0.000)
Au (0.500, 0.500, 0.500)

Properties
D(E_F) (states/eV/atom): 0.453
M_tot (Bohr magnetons per cell): 0.00



The structure with the most favorable energy is entry Q; the runner-up is 0.055 eV/atom above it.



Entry P
A plane-wave DFT calculation with PBE was carried out for a relaxed structure of SnPd2Au6.

abc: 7.318 7.318 7.575
angles: 115.54 115.54 86.99
Sites, in units of the cell vectors:
Sn (0.174, 0.826, 0.750)
Sn (0.826, 0.174, 0.250)
Pd (0.200, 0.421, 0.563)
Pd (0.421, 0.200, 0.063)
Pd (0.579, 0.800, 0.937)
Pd (0.800, 0.579, 0.437)
Au (0.010, 0.198, 0.687)
Au (0.086, 0.380, 0.135)
Au (0.198, 0.010, 0.187)
Au (0.328, 0.571, 0.022)
Au (0.380, 0.086, 0.635)
Au (0.429, 0.672, 0.478)
Au (0.571, 0.328, 0.522)
Au (0.620, 0.914, 0.365)
Au (0.672, 0.429, 0.978)
Au (0.802, 0.990, 0.813)
Au (0.914, 0.620, 0.865)
Au (0.990, 0.802, 0.313)

Properties
D(E_F) (states/eV/atom): 0.401
M_tot (Bohr magnetons per cell): 0.00



Entry Q
A plane-wave DFT calculation with PBE was carried out for a relaxed structure of SnPd2Au6.

abc: 8.687 8.687 4.256
angles: 90.00 90.00 90.00
Sites, in units of the cell vectors:
Sn (0.000, 0.000, 0.000)
Sn (0.500, 0.500, 0.500)
Pd (0.139, 0.139, 0.500)
Pd (0.361, 0.639, 0.000)
Pd (0.639, 0.361, 0.000)
Pd (0.861, 0.861, 0.500)
Au (0.019, 0.666, 0.000)
Au (0.166, 0.481, 0.500)
Au (0.192, 0.808, 0.500)
Au (0.308, 0.308, 0.000)
Au (0.334, 0.981, 0.000)
Au (0.481, 0.166, 0.500)
Au (0.519, 0.834, 0.500)
Au (0.666, 0.019, 0.000)
Au (0.692, 0.692, 0.000)
Au (0.808, 0.192, 0.500)
Au (0.834, 0.519, 0.500)
Au (0.981, 0.334, 0.000)

Properties
D(E_F) (states/eV/atom): 0.224
M_tot (Bohr magnetons per cell): 0.00



The structure with the most favorable energy is entry Q; the runner-up is 0.036 eV/atom above it.



Entry P
A plane-wave DFT calculation with PBE was carried out for a relaxed structure of Sn3PdAu2.

abc: 7.128 7.128 7.128
angles: 62.60 62.60 62.60
Sites, in units of the cell vectors:
Sn (0.094, 0.750, 0.406)
Sn (0.250, 0.594, 0.906)
Sn (0.406, 0.094, 0.750)
Sn (0.594, 0.906, 0.250)
Sn (0.750, 0.406, 0.094)
Sn (0.906, 0.250, 0.594)
Pd (0.000, 0.000, 0.000)
Pd (0.500, 0.500, 0.500)
Au (0.168, 0.168, 0.168)
Au (0.332, 0.332, 0.332)
Au (0.668, 0.668, 0.668)
Au (0.832, 0.832, 0.832)

Properties
D(E_F) (states/eV/atom): 0.366
M_tot (Bohr magnetons per cell): 0.00



Entry Q
A plane-wave DFT calculation with PBE was carried out for a relaxed structure of Sn3PdAu2.

abc: 10.023 10.023 7.485
angles: 100.80 100.80 22.05
Sites, in units of the cell vectors:
Sn (0.069, 0.069, 0.440)
Sn (0.248, 0.248, 0.814)
Sn (0.418, 0.418, 0.208)
Sn (0.582, 0.582, 0.792)
Sn (0.752, 0.752, 0.186)
Sn (0.931, 0.931, 0.560)
Pd (0.150, 0.150, 0.027)
Pd (0.850, 0.850, 0.973)
Au (0.203, 0.203, 0.408)
Au (0.442, 0.442, 0.837)
Au (0.558, 0.558, 0.163)
Au (0.797, 0.797, 0.592)

Properties
D(E_F) (states/eV/atom): 0.413
M_tot (Bohr magnetons per cell): 0.00



The structure with the most favorable energy is entry P; the runner-up is 0.127 eV/atom above it.



Entry P
A plane-wave DFT calculation with PBE was carried out for a relaxed structure of SnPd5Au2.

abc: 7.502 7.502 7.502
angles: 124.23 124.23 82.82
Sites, in units of the cell vectors:
Sn (0.250, 0.250, 0.000)
Sn (0.750, 0.750, 0.000)
Pd (0.000, 0.000, 0.000)
Pd (0.017, 0.517, 0.200)
Pd (0.184, 0.983, 0.500)
Pd (0.316, 0.816, 0.800)
Pd (0.483, 0.684, 0.500)
Pd (0.500, 0.500, 0.000)
Pd (0.517, 0.316, 0.500)
Pd (0.684, 0.184, 0.200)
Pd (0.816, 0.017, 0.500)
Pd (0.983, 0.483, 0.800)
Au (0.144, 0.356, 0.500)
Au (0.356, 0.856, 0.211)
Au (0.644, 0.144, 0.789)
Au (0.856, 0.644, 0.500)

Properties
D(E_F) (states/eV/atom): 0.710
M_tot (Bohr magnetons per cell): 0.00



Entry Q
A plane-wave DFT calculation with PBE was carried out for a relaxed structure of SnPd5Au2.

abc: 4.174 4.174 15.201
angles: 90.00 90.00 90.00
Sites, in units of the cell vectors:
Sn (0.000, 0.000, 0.000)
Sn (0.500, 0.500, 0.500)
Pd (0.000, 0.000, 0.500)
Pd (0.000, 0.500, 0.122)
Pd (0.000, 0.500, 0.378)
Pd (0.000, 0.500, 0.622)
Pd (0.000, 0.500, 0.878)
Pd (0.500, 0.000, 0.122)
Pd (0.500, 0.000, 0.378)
Pd (0.500, 0.000, 0.622)
Pd (0.500, 0.000, 0.878)
Pd (0.500, 0.500, 0.000)
Au (0.000, 0.000, 0.251)
Au (0.000, 0.000, 0.749)
Au (0.500, 0.500, 0.249)
Au (0.500, 0.500, 0.751)

Properties
D(E_F) (states/eV/atom): 0.549
M_tot (Bohr magnetons per cell): 0.00



The structure with the most favorable energy is entry Q; the runner-up is 0.157 eV/atom above it.



Entry P
A plane-wave DFT calculation with PBE was carried out for a relaxed structure of SnPdAu6.

abc: 5.893 5.893 4.860
angles: 90.00 90.00 120.00
Sites, in units of the cell vectors:
Sn (0.000, 0.000, 0.000)
Pd (0.667, 0.333, 0.500)
Au (0.168, 0.337, 0.500)
Au (0.168, 0.832, 0.500)
Au (0.503, 0.005, 0.000)
Au (0.503, 0.497, 0.000)
Au (0.663, 0.832, 0.500)
Au (0.995, 0.497, 0.000)

Properties
D(E_F) (states/eV/atom): 0.272
M_tot (Bohr magnetons per cell): 0.00



Entry Q
A plane-wave DFT calculation with PBE was carried out for a relaxed structure of SnPdAu6.

abc: 4.867 5.826 10.276
angles: 90.00 90.00 90.00
Sites, in units of the cell vectors:
Sn (0.000, 0.000, 0.000)
Sn (0.000, 0.500, 0.500)
Pd (0.000, 0.000, 0.499)
Pd (0.000, 0.500, 0.999)
Au (0.000, 0.249, 0.249)
Au (0.000, 0.251, 0.749)
Au (0.000, 0.749, 0.749)
Au (0.000, 0.751, 0.249)
Au (0.500, 0.000, 0.336)
Au (0.500, 0.000, 0.832)
Au (0.500, 0.246, 0.584)
Au (0.500, 0.254, 0.084)
Au (0.500, 0.500, 0.332)
Au (0.500, 0.500, 0.836)
Au (0.500, 0.746, 0.084)
Au (0.500, 0.754, 0.584)

Properties
D(E_F) (states/eV/atom): 0.106
M_tot (Bohr magnetons per cell): 0.00



The structure with the most favorable energy is entry Q; the runner-up is 0.018 eV/atom above it.